Compound: Li2GaTcH
Source: Alexandria
Functional: PBE-GGA
Structure: optimized geometry

abc: 3.6597 3.6597 4.1563
angles: 90.00 90.00 90.00
Fractional positions:
H (0.0000, 0.0000, 0.0000)
Tc (0.0000, 0.0000, 0.5000)
Li (0.5000, 0.0000, 0.0000)
Li (0.0000, 0.5000, 0.0000)
Ga (0.5000, 0.5000, 0.5000)

Properties
Symmetry   P4/mmm, No. 123
Density of states at the Fermi level   1.8 states/eV/cell
Raw total energy   -21.46 eV per cell
V   11.1 A^3/atom

Compound: Sm4Te5Pt
Source: Alexandria
Functional: PBE-GGA
Structure: optimized geometry

abc: 4.3597 8.7896 9.8775
angles: 104.38 102.75 90.00
Fractional positions:
Sm (0.3299, 0.8993, 0.6598)
Sm (0.0019, 0.2461, 0.0038)
Sm (0.6701, 0.1007, 0.3402)
Sm (0.9981, 0.7539, 0.9962)
Te (0.8359, 0.1629, 0.6718)
Te (0.1641, 0.8371, 0.3282)
Te (0.5000, 0.5000, 0.0000)
Te (0.1640, 0.3409, 0.3281)
Te (0.8360, 0.6591, 0.6719)
Pt (0.5000, 0.0000, 0.0000)

Properties
Symmetry   C2/m, No. 12
Density of states at the Fermi level   2.3 states/eV/cell
Raw total energy   -52.32 eV per cell
ΔE_f (raw)   -112.8 kJ/mol of atoms
V   35.7 A^3/atom

Compound: Tl2PbCl4
Source: Alexandria
Functional: PBE-GGA
Structure: optimized geometry

abc: 5.6948 5.6948 8.9369
angles: 71.42 71.42 90.00
Fractional positions:
Tl (0.3613, 0.3613, 0.2775)
Tl (0.6387, 0.6387, 0.7225)
Cl (0.1792, 0.1792, 0.6415)
Cl (0.0000, 0.5000, 0.0000)
Cl (0.5000, 0.0000, 0.0000)
Cl (0.8208, 0.8208, 0.3585)
Pb (0.0000, 0.0000, 0.0000)

Properties
Symmetry   I4/mmm, No. 139
Density of states at the Fermi level   0.0 states/eV/cell
Raw total energy   -23.05 eV per cell
ΔE_f (raw)   -99.5 kJ/mol of atoms
V   37.0 A^3/atom

Compound: KBa3B
Source: Alexandria
Functional: PBE-GGA
Structure: optimized geometry

abc: 6.9324 6.9324 6.9324
angles: 90.00 90.00 90.00
Fractional positions:
B (0.5000, 0.5000, 0.5000)
Ba (0.0000, 0.5000, 0.0000)
Ba (0.5000, 0.0000, 0.0000)
Ba (0.0000, 0.0000, 0.5000)
K (0.0000, 0.0000, 0.0000)

Properties
Symmetry   Pm-3m, No. 221
Density of states at the Fermi level   8.0 states/eV/cell
Raw total energy   -5.45 eV per cell
V   66.6 A^3/atom

Compound: Pm2Cd2Ge4Pd
Source: Alexandria
Functional: PBE-GGA
Structure: optimized geometry

abc: 6.4755 6.4755 6.4755
angles: 92.44 118.60 118.60
Fractional positions:
Ge (0.0000, 0.7306, 0.2694)
Ge (0.5389, 0.2695, 0.2695)
Ge (0.4611, 0.7306, 0.7306)
Ge (0.0000, 0.2694, 0.7306)
Pm (0.5000, 0.2500, 0.7500)
Pm (0.5000, 0.7500, 0.2500)
Pd (0.0000, 0.0000, 0.0000)
Cd (0.0000, 0.7037, 0.7037)
Cd (0.0000, 0.2963, 0.2963)

Properties
Symmetry   I4/mmm, No. 139
Density of states at the Fermi level   3.0 states/eV/cell
Raw total energy   -38.88 eV per cell
V   21.8 A^3/atom

Compound: KLi2BiO
Source: Alexandria
Functional: PBE-GGA
Structure: optimized geometry

abc: 4.4883 5.2488 4.4883
angles: 90.00 90.00 90.00
Fractional positions:
Li (0.0000, 0.0000, 0.5000)
Li (0.5000, 0.0000, 0.0000)
K (0.0000, 0.5000, 0.0000)
Bi (0.5000, 0.5000, 0.5000)
O (0.0000, 0.0000, 0.0000)

Properties
Symmetry   P4/mmm, No. 123
Density of states at the Fermi level   4.1 states/eV/cell
Raw total energy   -16.66 eV per cell
ΔE_f (raw)   -56.0 kJ/mol of atoms
V   21.1 A^3/atom

Compound: LiAlGaGe
Source: Alexandria
Functional: PBE-GGA
Structure: optimized geometry

abc: 4.5919 4.5919 4.5919
angles: 60.00 60.00 60.00
Fractional positions:
Ga (0.7500, 0.7500, 0.7500)
Al (0.5000, 0.5000, 0.5000)
Li (0.0000, 0.0000, 0.0000)
Ge (0.2500, 0.2500, 0.2500)

Properties
Symmetry   F-43m, No. 216
Density of states at the Fermi level   1.7 states/eV/cell
Raw total energy   -13.54 eV per cell
V   17.1 A^3/atom

Compound: FeCoAgI2
Source: Alexandria
Functional: PBE-GGA
Structure: optimized geometry

abc: 5.0415 4.9818 5.0415
angles: 90.00 90.00 90.00
Fractional positions:
Ag (0.0000, 0.5000, 0.0000)
Co (0.5000, 0.5000, 0.5000)
I (0.0000, 0.0000, 0.5000)
I (0.5000, 0.0000, 0.0000)
Fe (0.0000, 0.0000, 0.0000)

Properties
Symmetry   P4/mmm, No. 123
Density of states at the Fermi level   11.2 states/eV/cell
Raw total energy   -15.48 eV per cell
ΔE_f (raw)   116.6 kJ/mol of atoms
V   25.3 A^3/atom

Compound: LiCd2Pt
Source: Alexandria
Functional: PBE-GGA
Structure: optimized geometry

abc: 3.1445 3.1445 7.0641
angles: 90.00 90.00 90.00
Fractional positions:
Cd (0.0000, 0.0000, 0.9685)
Cd (0.5000, 0.5000, 0.2870)
Li (0.0000, 0.0000, 0.5310)
Pt (0.5000, 0.5000, 0.7134)

Properties
Symmetry   P4mm, No. 99
Density of states at the Fermi level   1.3 states/eV/cell
Raw total energy   -10.94 eV per cell
V   17.5 A^3/atom

Compound: ZrCo3H4
Source: Alexandria
Functional: PBE-GGA
Structure: optimized geometry

abc: 3.9532 3.9532 4.7503
angles: 114.59 114.59 90.01
Fractional positions:
Zr (0.0000, 0.0000, 0.0000)
H (0.7202, 0.7202, 0.4403)
H (0.5000, 0.0000, 0.0000)
H (0.2799, 0.2799, 0.5597)
H (0.0000, 0.5000, 0.0000)
Co (0.2500, 0.7500, 0.5000)
Co (0.7500, 0.2500, 0.5000)
Co (0.5000, 0.5000, 0.0000)

Properties
Symmetry   I4/mmm, No. 139
Density of states at the Fermi level   6.1 states/eV/cell
Raw total energy   -44.25 eV per cell
V   7.5 A^3/atom

Compound: CaPr2AuN
Source: Alexandria
Functional: PBE-GGA
Structure: optimized geometry

abc: 5.0464 5.0464 4.7660
angles: 90.00 90.00 90.00
Fractional positions:
Au (0.5000, 0.5000, 0.5001)
Ca (0.0000, 0.0000, 0.5000)
Pr (0.0000, 0.5000, 0.9999)
Pr (0.5000, 0.0000, 0.0001)
N (0.0000, 0.0000, 0.9999)

Properties
Symmetry   P4/mmm, No. 123
Density of states at the Fermi level   4.8 states/eV/cell
Raw total energy   -26.88 eV per cell
ΔE_f (raw)   -71.8 kJ/mol of atoms
V   24.3 A^3/atom

Compound: La8Te4As3Au
Source: Alexandria
Functional: PBE-GGA
Structure: optimized geometry

abc: 8.9264 9.0171 8.9266
angles: 119.67 120.00 90.00
Fractional positions:
As (0.0000, 0.5000, 0.5000)
As (0.5000, 0.5000, 0.0000)
As (0.5000, 0.5000, 0.5000)
La (0.2618, 0.2708, 0.0163)
La (0.7544, 0.2708, 0.5089)
La (0.7411, 0.7234, 0.4823)
La (0.2589, 0.2766, 0.5177)
La (0.2456, 0.7292, 0.4911)
La (0.7545, 0.2708, 0.0163)
La (0.2455, 0.7292, 0.9837)
La (0.7382, 0.7292, 0.9837)
Te (0.0000, 0.0000, 0.0000)
Te (0.5000, 0.0000, 0.0000)
Te (0.0000, 0.0000, 0.5000)
Te (0.5000, 0.0000, 0.5000)
Au (0.0000, 0.5000, 0.0000)

Properties
Symmetry   R-3m, No. 166
Density of states at the Fermi level   11.7 states/eV/cell
Raw total energy   -93.40 eV per cell
ΔE_f (raw)   -145.8 kJ/mol of atoms
V   31.9 A^3/atom

> Which formula does entry 7 have?

LiAlGaGe

> Which formula does entry 12 have?

La8Te4As3Au

> Which value of V does entry 6 give?

21.1 A^3/atom

> What is the V in the fourth record?

66.6 A^3/atom